SrLi6Pd2 PBE relaxed; total magnetization = 0.00 μB per cell; energy of formation = -25 kJ/mol of atoms; symmetry = P4/mmm; final energy = -2.873 eV/atom; D(E_F) = 5.246 states/eV/f.u.
1.0
4.355 0.000 0.000
0.000 4.355 0.000
0.000 0.000 9.391
Sr Li Pd
1 6 2
direct
0.000 0.000 0.000
0.000 0.000 0.500
0.000 0.500 0.288
0.000 0.500 0.712
0.500 0.000 0.288
0.500 0.000 0.712
0.500 0.500 0.500
0.500 0.500 0.143
0.500 0.500 0.857